The following is a PBE-GGA calculation of a relaxed Ca2InCu4Sn3 crystal, from Alexandria.

Cell lengths 4.426, 4.426, 10.974 Å; angles 90.00, 90.00, 90.00 degrees
Fractional coordinates of all 10 atoms:
Cu  0.500  0.500  0.000
Cu  0.500  0.000  0.639
Cu  0.000  0.500  0.361
Cu  0.000  0.000  0.000
Ca  0.500  0.000  0.237
Ca  0.000  0.500  0.763
In  0.500  0.500  0.500
Sn  0.000  0.500  0.128
Sn  0.000  0.000  0.500
Sn  0.500  0.000  0.872

Energy of formation   -0.274 eV per atom
Total moment   0.00 μB per cell